(1)
VASP calculation (PBE) on a relaxed structure of KY4Te6.

Summary:
Formation energy (no corrections) ... -1.361 eV per atom

a = 7.6298 Å, b = 7.6298 Å, c = 23.1778 Å
α = 90.00°, β = 90.00°, γ = 146.28°
Fractional coordinates of all 22 atoms:
K 0.1620 0.8380 0.7500
K 0.8380 0.1620 0.2500
Y 0.0914 0.9086 0.1307
Y 0.0914 0.9086 0.3693
Y 0.3646 0.6354 0.0399
Y 0.3646 0.6354 0.4601
Y 0.6354 0.3646 0.5399
Y 0.6354 0.3646 0.9601
Y 0.9086 0.0914 0.6307
Y 0.9086 0.0914 0.8693
Te 0.0000 0.0000 0.0000
Te 0.0000 0.0000 0.5000
Te 0.1564 0.8436 0.2500
Te 0.2722 0.7278 0.5824
Te 0.2722 0.7278 0.9176
Te 0.4551 0.5449 0.1561
Te 0.4551 0.5449 0.3439
Te 0.5449 0.4551 0.6561
Te 0.5449 0.4551 0.8439
Te 0.7278 0.2722 0.0824
Te 0.7278 0.2722 0.4176
Te 0.8436 0.1564 0.7500

=====

(2)
VASP calculation (PBE) on a relaxed structure of AcSCl.

Summary:
Formation energy (no corrections) ... -2.318 eV per atom

a = 8.7296 Å, b = 8.6302 Å, c = 7.1283 Å
α = 66.49°, β = 65.03°, γ = 48.48°
Fractional coordinates of all 12 atoms:
Ac 0.0984 0.6516 0.0984
Ac 0.3484 0.9016 0.3484
Ac 0.6516 0.0984 0.6516
Ac 0.9016 0.3484 0.9016
S 0.0050 0.0050 0.7450
S 0.2550 0.2550 0.9950
S 0.7450 0.7450 0.0050
S 0.9950 0.9950 0.2550
Cl 0.2559 0.2559 0.4941
Cl 0.4941 0.4941 0.2559
Cl 0.5059 0.5059 0.7441
Cl 0.7441 0.7441 0.5059

=====

(3)
VASP calculation (PBE) on a relaxed structure of Cs5CdAg2.

Summary:
Energy relative to the elements ... 0.01 eV per atom

a = 11.7846 Å, b = 11.7846 Å, c = 11.7846 Å
α = 130.48°, β = 130.48°, γ = 72.64°
Fractional coordinates of all 16 atoms:
Cs 0.0000 0.0000 0.0000
Cs 0.0345 0.5345 0.8448
Cs 0.1897 0.0345 0.5000
Cs 0.3103 0.8103 0.8448
Cs 0.4655 0.3103 0.5000
Cs 0.5000 0.5000 0.0000
Cs 0.5345 0.6897 0.5000
Cs 0.6897 0.1897 0.1552
Cs 0.8103 0.9655 0.5000
Cs 0.9655 0.4655 0.1552
Cd 0.2500 0.2500 0.0000
Cd 0.7500 0.7500 0.0000
Ag 0.1049 0.3951 0.5000
Ag 0.3951 0.8951 0.2902
Ag 0.6049 0.1049 0.7098
Ag 0.8951 0.6049 0.5000

=====

no.,density of states at the Fermi level (states/eV per cell)
1,5.39
2,0.00
3,11.14